The following is a GGA-PBE calculation of a relaxed LaMgRu3 crystal, from Alexandria via LeMat-Bulk.

- Energy relative to the lowest polymorph listed for this composition: 0.0000 eV per atom
- SG: Pm-3m
- Density: 7.781 g/cm3
- Total moment: 0.00 μB/f.u.
- E_form: 912 meV/atom

Cell lengths 4.634, 4.634, 4.634 Å; angles 90.00, 90.00, 90.00 degrees
Fractional positions:
Ru 0.000 0.500 0.000
Ru 0.000 0.000 0.500
Ru 0.500 0.000 0.000
Mg 0.000 0.000 0.000
La 0.500 0.500 0.500